Density functional theory data (PBE-GGA) for an optimized crystal structure of Pr2Al3CuPt4.

Results
crystal system = tetragonal
total magnetic moment = 0.00 μB per atom
space group = P-4m2 (115)
VASP energy = -5.890 eV per atom
theoretical density = 10.4 g cm⁻³

Cell lengths 4.3192, 4.3192, 10.3300 Å; angles 90.00, 90.00, 90.00 degrees
With the nearest neighbours (Å) after each atom.
Fractional positions:
Pr (0.5000, 0.0000, 0.2528)  8 Pt 3.27-3.39, 6 Al 3.33-3.34, 2 Cu 3.34
Pr (0.0000, 0.5000, 0.7472)  8 Pt 3.27-3.39, 6 Al 3.33-3.34, 2 Cu 3.34
Al (0.0000, 0.0000, 0.5000)  4 Pt 2.57
Al (0.5000, 0.0000, 0.8756)  5 Pt 2.49-2.51
Al (0.0000, 0.5000, 0.1244)  5 Pt 2.49-2.51
Cu (0.5000, 0.5000, 0.5000)  4 Pt 2.57
Pt (0.5000, 0.5000, 0.0000)  4 Al 2.51
Pt (0.0000, 0.0000, 0.0000)  4 Al 2.51
Pt (0.5000, 0.0000, 0.6350)  3 Al 2.49-2.57, 2 Cu 2.57
Pt (0.0000, 0.5000, 0.3650)  3 Al 2.49-2.57, 2 Cu 2.57